TePb2 | PBE | relaxed

abc: 4.775 4.775 4.809
angles: 90.00 90.00 90.00
Space group P4/mmm (No. 123)
Inequivalent atoms, fractional coordinates:
Te 0.000 0.000 0.000 (multiplicity 1)
Pb 0.000 0.500 0.500 (multiplicity 2)

**Theoretical density**: 8.21 g/cm³
**E_form (uncorrected)**: -0.088 eV per atom
**Crystal system**: tetragonal
**ΔE to the lowest computed polymorph**: 50 meV per atom
**DFT total energy**: -3.6072 eV per atom

CeDy2Os | PBE | relaxed

abc: 3.855 12.089 9.308
angles: 90.00 90.00 90.00
Space group Cmcm (No. 63)
Inequivalent atoms, fractional coordinates:
Ce 0.000 0.080 0.250 (multiplicity 4)
Dy 0.000 0.355 0.068 (multiplicity 8)
Os 0.000 0.266 0.750 (multiplicity 4)

**Theoretical density**: 10.03 g/cm³
**Formation energy**: -197 meV/atom
**Crystal system**: orthorhombic
**ΔE to the lowest computed polymorph**: 35 meV per atom
**DFT total energy**: -6.7893 eV per atom

AgMoH | PBE | relaxed

abc: 5.769 3.276 8.991
angles: 90.00 90.00 90.00
Space group Pnma (No. 62)
Inequivalent atoms, fractional coordinates:
Ag 0.093 0.250 0.123 (multiplicity 4)
Mo 0.116 0.250 0.434 (multiplicity 4)
H 0.027 0.250 0.644 (multiplicity 4)

**Theoretical density**: 8.01 g/cm³
**Crystal system**: orthorhombic
**ΔE to the lowest computed polymorph**: 72 meV per atom
**DFT total energy**: -5.1402 eV per atom

Dy3Er7Mg | PBE | relaxed

abc: 6.9207 6.9207 8.4859
angles: 90.00 90.00 120.00
Space group P3m1 (No. 156)
Inequivalent atoms, fractional coordinates:
Dy 0.1684 0.3368 0.0000 (multiplicity 3)
Er 0.0056 0.5028 0.3398 (multiplicity 3)
Er 0.3327 0.1664 0.6655 (multiplicity 3)
Er 0.3333 0.6667 0.6691 (multiplicity 1)
Mg 0.0000 0.0000 0.3405 (multiplicity 1)

**Theoretical density**: 7.94 g/cm³
**Formation energy**: 198 meV/atom
**Crystal system**: trigonal
**DFT total energy**: -4.1057 eV per atom